Record 1
Computed, not measured: an optimized crystal structure of LiSnMo2N at the PBE-GGA level of DFT.

Calculated values
ΔE to the lowest computed polymorph ... 0.000 eV/atom
E_form (uncorrected) ... -0.16 eV/atom
Raw total energy ... -36.710 eV for the cell shown
Total moment ... 0.00 μB/cell
Space-group type ... P4/mmm
Volume ... 14.388 Å³/atom

POSCAR file:
```
LiSnMo2N
1.0
4.1267 0.0000 0.0000
0.0000 4.1267 0.0000
0.0000 0.0000 4.2244
Li Sn Mo N
1 1 2 1
Cartesian
0.0000 0.0000 0.0000
2.0634 2.0634 0.0000
0.0000 2.0634 2.1122
2.0634 0.0000 2.1122
0.0000 0.0000 2.1122
```

***

Record 2
Computed, not measured: an optimized crystal structure of LiSnMo2N at the PBE-GGA level of DFT.

Calculated values
ΔE to the lowest computed polymorph ... 2.608 eV/atom
E_form (uncorrected) ... 2.45 eV/atom
Raw total energy ... -23.669 eV for the cell shown
Total moment ... 5.73 μB/cell
Space-group type ... P4/mmm
Volume ... 27.519 Å³/atom

POSCAR file:
```
LiSnMo2N
1.0
5.2797 0.0000 0.0000
0.0000 5.2797 0.0000
0.0000 0.0000 4.9362
Li Sn Mo N
1 1 2 1
Cartesian
0.0000 0.0000 0.0000
0.0000 0.0000 2.4681
0.0000 2.6398 2.4681
2.6398 0.0000 2.4681
2.6398 2.6398 0.0000
```

***

Record 3
Computed, not measured: an optimized crystal structure of Li2SnMoN4 at the PBE-GGA level of DFT.

Calculated values
E_form (uncorrected) ... -0.33 eV/atom
Raw total energy ... -109.128 eV for the cell shown
Total moment ... 0.00 μB/cell
Space-group type ... Pmn2_1
Volume ... 13.165 Å³/atom

POSCAR file:
```
Li2SnMoN4
1.0
6.6517 0.0000 0.0000
0.0000 5.8965 0.0000
0.0000 0.0000 5.3704
Li Sn Mo N
4 2 2 8
Cartesian
1.6571 0.9839 0.0000
1.6687 4.9127 2.6852
4.9830 4.9127 2.6852
4.9946 0.9839 0.0000
0.0000 3.9495 0.0165
3.3259 1.9471 2.7017
0.0000 1.9422 2.7176
3.3259 3.9543 0.0324
0.0000 2.0281 4.5731
0.0000 3.7021 2.0966
1.5600 1.0341 2.1293
1.7658 4.8624 4.8145
3.3259 2.1945 4.7818
3.3259 3.8684 1.8879
4.8859 4.8624 4.8145
5.0917 1.0341 2.1293
```